The following is a PBE calculation of a relaxed Tb4Ga12Tc crystal, from Alexandria via LeMat-Bulk.

a b c (Å): 7.495 7.495 7.495
angles (deg): 109.47 109.47 109.47
Element x y z (fractional)
Tb (0.500, 0.000, 0.000)
Ga (0.250, 0.500, 0.750)
Ga (0.291, 0.291, 0.000)
Ga (0.500, 0.250, 0.750)
Tb (0.000, 0.000, 0.500)
Ga (0.000, 0.291, 0.291)
Ga (0.000, 0.709, 0.709)
Ga (0.291, 0.000, 0.291)
Tb (0.000, 0.500, 0.000)
Ga (0.500, 0.750, 0.250)
Tc (0.000, 0.000, 0.000)
Ga (0.250, 0.750, 0.500)
Ga (0.750, 0.250, 0.500)
Tb (0.500, 0.500, 0.500)
Ga (0.709, 0.000, 0.709)
Ga (0.709, 0.709, 0.000)
Ga (0.750, 0.500, 0.250)

Results
total magnetization: 0.00 μB/f.u.
DFT formation energy: -9.322 eV per formula unit